(1)
A relaxed NaTlAsPd crystal. Source: the Alexandria database, functional PBE.

a b c (Å): 4.2162 4.2588 6.9140
angles (deg): 89.99 107.76 119.98
Closest atoms and distances in Å follow each position.
Sites, in units of the cell vectors:
Na  0.9651  0.8467  0.8138  3 As 3.07-3.09, 3 Pd 3.23-3.26
Tl  0.3826  0.0567  0.4359  3 Pd 3.09-3.10, 3 As 3.24-3.28, 2 Na 3.46
As  0.8248  0.2764  0.1037  3 Pd 2.45-2.47
Pd  0.5196  0.6247  0.1432  3 As 2.45-2.47

***

(2)
A relaxed Na2ZnAs2Pd5 crystal. Source: the Alexandria database, functional PBE.

a b c (Å): 3.1249 10.5763 10.5763
angles (deg): 90.00 90.00 90.00
Closest atoms and distances in Å follow each position.
Sites, in units of the cell vectors:
Na  0.0000  0.6732  0.1732  1 As 2.89, 6 Pd 3.03-3.21, 2 Na 3.12
Na  0.0000  0.3268  0.8268  1 As 2.89, 6 Pd 3.03-3.21, 2 Na 3.12
Na  0.0000  0.1732  0.3268  1 As 2.89, 6 Pd 3.03-3.21, 2 Na 3.12
Na  0.0000  0.8268  0.6732  1 As 2.89, 6 Pd 3.03-3.21, 2 Na 3.12
Zn  0.0000  0.0000  0.0000  8 Pd 2.64
Zn  0.0000  0.5000  0.5000  8 Pd 2.64
As  0.0000  0.1334  0.6334  6 Pd 2.53-2.55
As  0.0000  0.8666  0.3666  6 Pd 2.53-2.55
As  0.0000  0.6334  0.8666  6 Pd 2.53-2.55
As  0.0000  0.3666  0.1334  6 Pd 2.53-2.55
Pd  0.5000  0.1928  0.0556  2 As 2.55, 2 Zn 2.64
Pd  0.5000  0.8072  0.9444  2 As 2.55, 2 Zn 2.64
Pd  0.5000  0.0556  0.8072  2 As 2.55, 2 Zn 2.64
Pd  0.5000  0.6928  0.4444  2 As 2.55, 2 Zn 2.64
Pd  0.5000  0.9444  0.1928  2 As 2.55, 2 Zn 2.64
Pd  0.5000  0.3072  0.5556  2 As 2.55, 2 Zn 2.64
Pd  0.5000  0.5556  0.6928  2 As 2.55, 2 Zn 2.64
Pd  0.5000  0.4444  0.3072  2 As 2.55, 2 Zn 2.64
Pd  0.5000  0.5000  0.0000  4 As 2.53
Pd  0.5000  0.0000  0.5000  4 As 2.53

***

(3)
A relaxed NaPmAs2 crystal. Source: the Alexandria database, functional PBE.

a b c (Å): 3.9493 3.9493 6.7361
angles (deg): 90.00 90.00 90.00
Closest atoms and distances in Å follow each position.
Sites, in units of the cell vectors:
Na  0.5000  0.5000  0.5000  2 Pm 3.37, 8 As 3.48
As  0.0000  0.0000  0.8077  1 As 2.59
As  0.0000  0.0000  0.1923  1 As 2.59
Pm  0.5000  0.5000  0.0000  8 As 3.08, 2 Na 3.37

***

no.,E_tot (eV per atom)
1,-3.70
2,-4.31
3,-4.57